No. 1
Compound: Pm2MgSn4Ir3
Source: Alexandria via LeMat-Bulk
Functional: GGA-PBE
Structure: relaxed

Calculated values
Formation energy from the elements   -0.5241 eV/atom
M_tot   0.00 μB/cell

The structure in CIF format:
```
data_Pm2MgSn4Ir3
_chemical_formula_sum 'Pm2 Mg1 Sn4 Ir3'
_cell_length_a 4.447
_cell_length_b 4.447
_cell_length_c 11.377
_cell_angle_alpha 90.00
_cell_angle_beta 90.00
_cell_angle_gamma 90.00
_space_group_name_H-M_alt 'P -4 m 2'
_space_group_IT_number 115
_space_group_name_Hall 'P -4 -2'
loop_
_atom_site_label
_atom_site_type_symbol
_atom_site_fract_x
_atom_site_fract_y
_atom_site_fract_z
Pm1 Pm 0.000 0.500 0.238
Mg1 Mg 0.000 0.000 0.500
Sn1 Sn 0.000 0.000 0.000
Sn2 Sn 0.000 0.500 0.643
Sn3 Sn 0.500 0.500 0.000
Ir1 Ir 0.000 0.500 0.870
Ir2 Ir 0.500 0.500 0.500
```



No. 2
Compound: Ho12Zn3Ni5
Source: Alexandria via LeMat-Bulk
Functional: GGA-PBE
Structure: relaxed

Calculated values
Formation energy from the elements   0.0470 eV/atom
M_tot   0.00 μB/cell

The structure in CIF format:
```
data_Ho12Zn3Ni5
_chemical_formula_sum 'Ho96 Zn24 Ni40'
_cell_length_a 16.322
_cell_length_b 16.322
_cell_length_c 16.322
_cell_angle_alpha 90.00
_cell_angle_beta 90.00
_cell_angle_gamma 90.00
_space_group_name_H-M_alt 'I a -3 d'
_space_group_IT_number 230
_space_group_name_Hall '-I 4bd 2c 3'
loop_
_atom_site_label
_atom_site_type_symbol
_atom_site_fract_x
_atom_site_fract_y
_atom_site_fract_z
Ho1 Ho 0.025 0.063 0.649
Zn1 Zn 0.000 0.250 0.125
Ni1 Ni 0.000 0.000 0.000
Ni2 Ni 0.000 0.250 0.375
```